No. 1
Ba2CdB6O12 | PBEsol | relaxed

Output
As for the calculated volume: 12.12 Å³/atom. For the uncorrected formation energy, the calculation gives -2.499 eV per atom. As for the spin magnetization: 0.00 μB/f.u.

a = 7.1546 Å, b = 7.1546 Å, c = 7.0717 Å
α = 59.61°, β = 59.61°, γ = 60.00°
With the nearest neighbours (Å) after each atom.
Atoms (fractional coordinates):
1 O 0.7993 0.5418 0.2382  2 B 1.40-1.41
2 O 0.3360 0.0824 0.7417  1 B 1.33
3 O 0.4207 0.7993 0.2382  2 B 1.40-1.41
4 O 0.4582 0.5793 0.7618  2 B 1.40-1.41
5 O 0.0824 0.8398 0.7417  1 B 1.33
6 O 0.6640 0.9176 0.2583  1 B 1.33
7 O 0.5418 0.4207 0.2382  2 B 1.40-1.41
8 O 0.9176 0.1602 0.2583  1 B 1.33
9 O 0.5793 0.2007 0.7618  2 B 1.40-1.41
10 O 0.1602 0.6640 0.2583  1 B 1.33
11 O 0.2007 0.4582 0.7618  2 B 1.40-1.41
12 O 0.8398 0.3360 0.7417  1 B 1.33
13 B 0.6340 0.3669 0.7563  3 O 1.33-1.41
14 B 0.2428 0.6340 0.7563  3 O 1.33-1.41
15 B 0.7572 0.3660 0.2437  3 O 1.33-1.41
16 B 0.6331 0.7572 0.2437  3 O 1.33-1.41
17 B 0.3669 0.2428 0.7563  3 O 1.33-1.41
18 B 0.3660 0.6331 0.2437  3 O 1.33-1.41
19 Cd 0.0000 0.0000 0.0000  6 O 2.31
20 Ba 0.7914 0.7914 0.6259  9 O 2.76-2.95
21 Ba 0.2086 0.2086 0.3741  9 O 2.76-2.95


No. 2
BaB3Cl | PBEsol | relaxed

Output
As for the calculated volume: 28.66 Å³/atom. For the uncorrected formation energy, the calculation gives 2.824 eV per atom. As for the spin magnetization: 0.68 μB/f.u.

a = 5.2330 Å, b = 5.2330 Å, c = 5.2330 Å
α = 90.00°, β = 90.00°, γ = 90.00°
With the nearest neighbours (Å) after each atom.
Atoms (fractional coordinates):
1 B 0.0000 0.0000 0.5000  2 Ba 2.62
2 B 0.5000 0.0000 0.0000  2 Ba 2.62
3 B 0.0000 0.5000 0.0000  2 Ba 2.62
4 Cl 0.5000 0.5000 0.5000  12 B 3.70
5 Ba 0.0000 0.0000 0.0000  6 B 2.62


Copy entry 1 word for word.
Ba2CdB6O12 | PBEsol | relaxed

Output
As for the calculated volume: 12.12 Å³/atom. For the uncorrected formation energy, the calculation gives -2.499 eV per atom. As for the spin magnetization: 0.00 μB/f.u.

a = 7.1546 Å, b = 7.1546 Å, c = 7.0717 Å
α = 59.61°, β = 59.61°, γ = 60.00°
With the nearest neighbours (Å) after each atom.
Atoms (fractional coordinates):
1 O 0.7993 0.5418 0.2382  2 B 1.40-1.41
2 O 0.3360 0.0824 0.7417  1 B 1.33
3 O 0.4207 0.7993 0.2382  2 B 1.40-1.41
4 O 0.4582 0.5793 0.7618  2 B 1.40-1.41
5 O 0.0824 0.8398 0.7417  1 B 1.33
6 O 0.6640 0.9176 0.2583  1 B 1.33
7 O 0.5418 0.4207 0.2382  2 B 1.40-1.41
8 O 0.9176 0.1602 0.2583  1 B 1.33
9 O 0.5793 0.2007 0.7618  2 B 1.40-1.41
10 O 0.1602 0.6640 0.2583  1 B 1.33
11 O 0.2007 0.4582 0.7618  2 B 1.40-1.41
12 O 0.8398 0.3360 0.7417  1 B 1.33
13 B 0.6340 0.3669 0.7563  3 O 1.33-1.41
14 B 0.2428 0.6340 0.7563  3 O 1.33-1.41
15 B 0.7572 0.3660 0.2437  3 O 1.33-1.41
16 B 0.6331 0.7572 0.2437  3 O 1.33-1.41
17 B 0.3669 0.2428 0.7563  3 O 1.33-1.41
18 B 0.3660 0.6331 0.2437  3 O 1.33-1.41
19 Cd 0.0000 0.0000 0.0000  6 O 2.31
20 Ba 0.7914 0.7914 0.6259  9 O 2.76-2.95
21 Ba 0.2086 0.2086 0.3741  9 O 2.76-2.95


Q: Which formula does entry 2 have?
A: BaB3Cl